# 1
{"formula": "LiSiI4", "functional": "PBE-GGA", "state": "optimized geometry", "cell": [[6.841, 0.000, 0.000], [0.000, 6.841, 0.000], [-3.421, -3.421, 5.712]], "species": ["Si", "I", "I", "Li", "I", "I"], "fractional_positions": [[0.500, 0.500, 0.000], [0.400, 0.854, 0.255], [0.146, 0.145, 0.745], [0.750, 0.250, 0.500], [0.599, 0.600, 0.745], [0.855, 0.401, 0.255]], "e_tot_ev_per_atom": -2.6935, "vol_a3_per_cell": 267}



# 2
{"formula": "Li3SiI", "functional": "PBE-GGA", "state": "optimized geometry", "cell": [[-1.686, 3.382, -3.420], [-3.619, 1.496, 3.263], [3.169, 3.507, 1.907]], "species": ["I", "Si", "Li", "Li", "Li"], "fractional_positions": [[0.000, 0.000, 0.000], [0.500, 0.500, 0.500], [0.500, 0.000, 0.000], [0.000, 0.000, 0.500], [0.000, 0.500, 0.000]], "e_tot_ev_per_atom": -2.4389, "vol_a3_per_cell": 132}